VASP calculation (PBE-GGA) on a relaxed structure of NiMoSe.

As for the density of states at the Fermi level: 2.78 states/eV/cell. The density is 8.68 Mg/m³. The crystal system is trigonal. For the distance to the lowest polymorph of the same formula, the calculation gives 0.60 eV per formula unit. The value obtained for the formation energy (no corrections) is 0.30 eV/atom. As for the symmetry: No. 156.

Cell lengths 4.192, 4.192, 2.936 Å; angles 90.00, 90.00, 120.00 degrees
Element x y z (fractional)
Mo 0.000 0.000 0.889
Ni 0.333 0.667 0.418
Se 0.667 0.333 0.694